An optimized crystal structure of HfVAs2. Source: the Alexandria database, functional PBE.

Properties
Energy above the most stable polymorph in this dataset = 488.5 meV per atom
DOS at the Fermi energy = 12.3 states/eV/cell
Calculated density = 6.2 Mg/m³
Formation energy = -8.9 kJ per mole of atoms
Space group = I-42d, No. 122
Total magnetic moment = 0.69 μB/atom

Cell lengths 5.791, 5.791, 12.137 Å; angles 90.00, 90.00, 90.00 degrees
Atoms (fractional coordinates):
Hf  0.000  0.000  0.000
Hf  0.000  0.500  0.250
Hf  0.500  0.000  0.750
Hf  0.500  0.500  0.500
V  0.000  0.000  0.500
V  0.000  0.500  0.750
V  0.500  0.000  0.250
V  0.500  0.500  0.000
As  0.233  0.250  0.625
As  0.250  0.733  0.875
As  0.250  0.767  0.375
As  0.267  0.250  0.125
As  0.733  0.750  0.125
As  0.750  0.233  0.375
As  0.750  0.267  0.875
As  0.767  0.750  0.625